SiPb2Se | PBEsol | relaxed

Values from the calculation:
Mass density in g/cm³: 9.0
DFT total energy in eV/atom: -4.31
Crystal system: orthorhombic
Energy above the lowest structure with this stoichiometry in eV/atom: 0.060
Formation energy without anion corrections in eV/f.u.: 0.34
Space group: Imm2
Size of the total moment in μB per cell: 0.000

Cell and atoms, written as POSCAR:
```
SiPb2Se
1.0
-1.0892 -3.2150 0.8149
5.0601 -1.5612 0.6040
-2.1716 3.7172 4.2852
Pb Se Si
2 1 1
direct
0.9748 0.9748 0.9497
0.7628 0.2628 0.5256
0.5436 0.5436 0.0873
0.2187 0.7187 0.4374
```